Compound: Cd2FeSeO6
Source: the Alexandria database
Functional: GGA+U
Structure: optimized geometry

## Properties
**D(E_F)**: 0.138 states/eV per atom
**E_tot**: -48.64 eV/f.u.
**Magnetic moment**: 4.1 μB per formula unit
**Symmetry**: P4mm (99)

Cell lengths 4.6958, 5.3193, 5.3193 Å; angles 90.00, 90.00, 90.00 degrees
Site moments in Bohr magnetons follow the coordinates.
Sites, in units of the cell vectors:
Cd 0.0105 0.5000 0.0000  0.01
Cd 0.0105 0.0000 0.5000  0.01
Fe 0.5721 0.5000 0.5000  4.13
Se 0.6134 0.0000 0.0000  -0.11
O 0.7043 0.2458 0.2458  -0.04
O 0.7043 0.2458 0.7542  -0.04
O 0.1765 0.5000 0.5000  0.19
O 0.2463 0.0000 0.0000  -0.01
O 0.7043 0.7542 0.7542  -0.04
O 0.7043 0.7542 0.2458  -0.04